SrLa2As: relaxed, PBE.

V	36.36	Å³ per atom
formation energy from the elements	-0.522	eV/atom

Lattice parameters (Å, degrees): 3.900 4.897 15.231 90.00 90.00 90.00
Space group Imm2 (No. 44)
Inequivalent atoms, fractional coordinates:
Sr  0.000  0.000  0.000 x2
La  0.000  0.000  0.334 x2
La  0.000  0.500  0.181 x2
As  0.000  0.500  0.675 x2

=====

NaSrCd: relaxed, PBE.

offset from the most stable computed form	68.1	meV per atom
V	34.86	Å³ per atom
formation energy from the elements	-0.117	eV/atom

Lattice parameters (Å, degrees): 5.4410 5.4410 4.0794 90.00 90.00 120.00
Space group P3m1 (No. 156)
Inequivalent atoms, fractional coordinates:
Na  0.0000  0.0000  0.0000 x1
Sr  0.3333  0.6667  0.4984 x1
Cd  0.6667  0.3333  0.9961 x1

=====

FeSiBP: relaxed, PBE.

ΔE_f (raw)	0.069	eV per atom
offset from the most stable computed form	165.6	meV per atom
V	11.79	Å³ per atom

Lattice parameters (Å, degrees): 2.776 3.054 5.731 93.96 100.55 97.43
Space group P1 (No. 1)
Inequivalent atoms, fractional coordinates:
Fe  0.000  0.000  0.000 x1
Si  0.594  0.527  0.206 x1
B  0.396  0.024  0.725 x1
P  0.705  0.559  0.620 x1

=====

HfP2AuS: relaxed, PBE.

ΔE_f (raw)	0.758	eV per atom
offset from the most stable computed form	380.8	meV per atom
V	21.14	Å³ per atom

Lattice parameters (Å, degrees): 4.694 4.694 4.798 90.00 90.00 90.00
Space group P4/mmm (No. 123)
Inequivalent atoms, fractional coordinates:
Hf  0.000  0.000  0.000 x1
P  0.000  0.500  0.500 x2
Au  0.500  0.500  0.500 x1
S  0.500  0.500  0.000 x1

=====

Y2Mn3: relaxed, PBE.

V	24.26	Å³ per atom
formation energy from the elements	0.764	eV/atom

Lattice parameters (Å, degrees): 4.8390 4.8390 5.9810 90.00 90.00 120.00
Space group P-3m1 (No. 164)
Inequivalent atoms, fractional coordinates:
Y  0.3333  0.6667  0.3295 x2
Mn  0.0000  0.0000  0.5000 x1
Mn  0.3333  0.6667  0.8349 x2

=====

Te2AsPb: relaxed, PBE.

ΔE_f (raw)	-0.036	eV per atom
offset from the most stable computed form	37.3	meV per atom
V	32.22	Å³ per atom

Lattice parameters (Å, degrees): 4.466 4.466 6.461 90.00 90.00 90.00
Space group P4mm (No. 99)
Inequivalent atoms, fractional coordinates:
Te  0.000  0.000  0.000 x1
Te  0.500  0.500  0.446 x1
As  0.000  0.000  0.418 x1
Pb  0.500  0.500  0.937 x1

=====

TcNi2HI: relaxed, PBE.

V	15.84	Å³ per atom
DFT total energy	-4.047	eV per atom

Lattice parameters (Å, degrees): 4.781 4.781 3.466 90.00 90.00 90.00
Space group P4/mmm (No. 123)
Inequivalent atoms, fractional coordinates:
Tc  0.000  0.000  0.000 x1
Ni  0.000  0.500  0.500 x2
H  0.500  0.500  0.000 x1
I  0.500  0.500  0.500 x1

=====

TaCrOs2: relaxed, PBE.

V	21.65	Å³ per atom
formation energy from the elements	1.364	eV/atom

Lattice parameters (Å, degrees): 5.574 5.574 11.149 90.00 90.00 90.00
Space group I-42d (No. 122)
Inequivalent atoms, fractional coordinates:
Ta  0.000  0.000  0.000 x4
Cr  0.000  0.000  0.500 x4
Os  0.213  0.250  0.625 x8